1.
Below is a relaxed Na2SmGaSe4 crystal, with properties calculated at the PBE level.

```
Na2SmGaSe4
1.0
5.808 -5.901 0.000
5.808 5.901 0.000
-5.423 0.000 5.800
Na Sm Ga Se
4 2 2 8
direct
0.000 0.000 0.000 Na
0.000 0.000 0.500 Na
0.000 0.500 0.000 Na
0.500 0.000 0.500 Na
0.000 0.500 0.500 Sm
0.500 0.000 0.000 Sm
0.500 0.500 0.000 Ga
0.500 0.500 0.500 Ga
0.256 0.744 0.502 Se
0.256 0.744 0.998 Se
0.290 0.291 0.539 Se
0.291 0.290 0.039 Se
0.709 0.710 0.961 Se
0.710 0.709 0.461 Se
0.744 0.256 0.002 Se
0.744 0.256 0.498 Se
```

Values from the calculation:
Energy relative to the elements, uncorrected   -1.1456 eV/atom
Total moment   0.00 Bohr magnetons per cell
DOS(E_F)   0.097 states/eV per atom

---

2.
Below is a relaxed Na2GaSnSe5 crystal, with properties calculated at the PBE level.

```
Na2GaSnSe5
1.0
1.858 -9.265 0.000
1.858 9.265 0.000
0.000 0.000 13.881
Na Ga Sn Se
4 2 2 10
direct
0.099 0.901 0.500 Na
0.124 0.876 0.157 Na
0.876 0.124 0.657 Na
0.901 0.099 0.000 Na
0.429 0.571 0.268 Ga
0.571 0.429 0.768 Ga
0.224 0.776 0.879 Sn
0.776 0.224 0.379 Sn
0.062 0.938 0.881 Se
0.271 0.729 0.517 Se
0.297 0.703 0.235 Se
0.363 0.637 0.836 Se
0.494 0.506 0.120 Se
0.506 0.494 0.620 Se
0.637 0.363 0.336 Se
0.703 0.297 0.735 Se
0.729 0.271 0.017 Se
0.938 0.062 0.381 Se
```

Values from the calculation:
Energy relative to the elements, uncorrected   -0.6195 eV/atom
Total moment   0.10 Bohr magnetons per cell
DOS(E_F)   0.348 states/eV per atom

---

3.
Below is a relaxed Na2GaSnSe4 crystal, with properties calculated at the PBE level.

```
Na2GaSnSe4
1.0
-3.342 3.342 5.601
3.342 -3.342 5.601
3.342 3.342 -5.601
Na Ga Sn Se
2 1 1 4
direct
0.000 0.000 0.000 Na
0.750 0.250 0.500 Na
0.250 0.750 0.500 Ga
0.500 0.500 0.000 Sn
0.157 0.095 0.519 Se
0.362 0.843 0.938 Se
0.576 0.638 0.481 Se
0.905 0.424 0.062 Se
```

Values from the calculation:
Energy relative to the elements, uncorrected   -0.7051 eV/atom
Total moment   0.00 Bohr magnetons per cell
DOS(E_F)   0.802 states/eV per atom

---

4.
Below is a relaxed NaSr2GaSe4 crystal, with properties calculated at the PBE level.

```
NaSr2GaSe4
1.0
-4.293 4.314 5.858
4.293 -4.314 5.858
4.293 4.314 -5.858
Na Sr Ga Se
2 4 2 8
direct
0.500 0.000 0.000 Na
0.500 0.500 0.500 Na
0.000 0.000 0.000 Sr
0.000 0.000 0.500 Sr
0.000 0.500 0.000 Sr
0.500 0.000 0.500 Sr
0.000 0.500 0.500 Ga
0.500 0.500 0.000 Ga
0.219 0.713 0.506 Se
0.256 0.266 0.511 Se
0.256 0.745 0.989 Se
0.292 0.287 0.006 Se
0.708 0.713 0.994 Se
0.744 0.255 0.011 Se
0.744 0.734 0.489 Se
0.781 0.287 0.494 Se
```

Values from the calculation:
Energy relative to the elements, uncorrected   -1.2544 eV/atom
Total moment   0.00 Bohr magnetons per cell
DOS(E_F)   0.001 states/eV per atom

---

5.
Below is a relaxed Na3Tb3GaSe8 crystal, with properties calculated at the PBE level.

```
Na3Tb3GaSe8
1.0
4.071 2.350 7.116
-4.071 2.350 7.116
0.000 -4.701 7.116
Na Tb Ga Se
3 3 1 8
direct
0.000 0.500 0.500 Na
0.500 0.000 0.500 Na
0.500 0.500 0.000 Na
0.000 0.000 0.500 Tb
0.000 0.500 0.000 Tb
0.500 0.000 0.000 Tb
0.500 0.500 0.500 Ga
0.244 0.244 0.244 Se
0.261 0.729 0.729 Se
0.271 0.271 0.739 Se
0.271 0.739 0.271 Se
0.729 0.261 0.729 Se
0.729 0.729 0.261 Se
0.739 0.271 0.271 Se
0.756 0.756 0.756 Se
```

Values from the calculation:
Energy relative to the elements, uncorrected   -1.3451 eV/atom
Total moment   0.00 Bohr magnetons per cell
DOS(E_F)   0.757 states/eV per atom

---

6.
Below is a relaxed Na4Tb3GaSe8 crystal, with properties calculated at the PBE level.

```
Na4Tb3GaSe8
1.0
4.096 2.365 7.015
-4.096 2.365 7.015
0.000 -4.730 7.015
Na Tb Ga Se
4 3 1 8
direct
0.000 0.000 0.000 Na
0.000 0.500 0.500 Na
0.500 0.000 0.500 Na
0.500 0.500 0.000 Na
0.000 0.000 0.500 Tb
0.000 0.500 0.000 Tb
0.500 0.000 0.000 Tb
0.500 0.500 0.500 Ga
0.244 0.244 0.244 Se
0.259 0.732 0.732 Se
0.268 0.268 0.741 Se
0.268 0.741 0.268 Se
0.732 0.259 0.732 Se
0.732 0.732 0.259 Se
0.741 0.268 0.268 Se
0.756 0.756 0.756 Se
```

Values from the calculation:
Energy relative to the elements, uncorrected   -1.4261 eV/atom
Total moment   0.00 Bohr magnetons per cell
DOS(E_F)   0.105 states/eV per atom

---

7.
Below is a relaxed NaGa2TeSe6 crystal, with properties calculated at the PBE level.

```
NaGa2TeSe6
1.0
6.208 -6.160 0.000
6.208 6.160 0.000
-1.250 0.000 7.234
Na Ga Te Se
2 4 2 12
direct
0.066 0.934 0.750 Na
0.934 0.066 0.250 Na
0.225 0.409 0.804 Ga
0.409 0.225 0.304 Ga
0.591 0.775 0.696 Ga
0.775 0.591 0.196 Ga
0.251 0.749 0.250 Te
0.749 0.251 0.750 Te
0.017 0.246 0.619 Se
0.096 0.640 0.905 Se
0.246 0.017 0.119 Se
0.313 0.439 0.498 Se
0.360 0.904 0.595 Se
0.439 0.313 0.998 Se
0.561 0.687 0.002 Se
0.640 0.096 0.405 Se
0.687 0.561 0.502 Se
0.754 0.983 0.881 Se
0.904 0.360 0.095 Se
0.983 0.754 0.381 Se
```

Values from the calculation:
Energy relative to the elements, uncorrected   -0.3471 eV/atom
Total moment   0.00 Bohr magnetons per cell
DOS(E_F)   0.617 states/eV per atom

---

8.
Below is a relaxed Na2GaTeSe4 crystal, with properties calculated at the PBE level.

```
Na2GaTeSe4
1.0
5.578 0.000 0.000
-1.609 6.462 0.000
-1.003 -1.892 6.402
Na Ga Te Se
2 1 1 4
direct
0.000 0.000 0.000 Na
0.437 0.463 0.869 Na
0.570 0.043 0.539 Ga
0.880 0.546 0.481 Te
0.337 0.851 0.745 Se
0.393 0.278 0.371 Se
0.720 0.807 0.278 Se
0.893 0.335 0.813 Se
```

Values from the calculation:
Energy relative to the elements, uncorrected   -0.5677 eV/atom
Total moment   0.00 Bohr magnetons per cell
DOS(E_F)   0.453 states/eV per atom